[1]
The following is a DFT calculation (PBE-GGA) of a relaxed Mn2PbBr6 crystal.

Results
Relative energy among the computed polymorphs = 15 meV/atom

Structure (CIF):
```
data_Mn2PbBr6
_chemical_formula_sum 'Mn8 Pb4 Br24'
_cell_length_a 13.989
_cell_length_b 12.892
_cell_length_c 7.357
_cell_angle_alpha 90.00
_cell_angle_beta 101.73
_cell_angle_gamma 90.00
_space_group_name_H-M_alt 'C 1 2/c 1'
_space_group_IT_number 15
loop_
_space_group_symop_operation_xyz
'x,y,z'
'-x,-y,-z'
'-x,y,-z+1/2'
'x,-y,z+1/2'
'x+1/2,y+1/2,z'
'-x+1/2,-y+1/2,-z'
'-x+1/2,y+1/2,-z+1/2'
'x+1/2,-y+1/2,z+1/2'
loop_
_atom_site_label
_atom_site_fract_x
_atom_site_fract_y
_atom_site_fract_z
Mn1 0.194 0.077 0.305
Pb1 0.000 0.382 0.250
Br1 0.122 0.419 0.644
Br2 0.131 0.234 0.120
Br3 0.136 0.080 0.608
```



[2]
The following is a DFT calculation (PBE-GGA) of a relaxed HfMn5 crystal.

Results
Formation energy from the elements = 2.409 kcal/mol of atoms

Structure (CIF):
```
data_HfMn5
_chemical_formula_sum 'Hf2 Mn10'
_cell_length_a 4.038
_cell_length_b 12.163
_cell_length_c 3.238
_cell_angle_alpha 90.00
_cell_angle_beta 90.00
_cell_angle_gamma 90.00
_space_group_name_H-M_alt 'C m m m'
_space_group_IT_number 65
_space_group_name_Hall '-C 2 2'
loop_
_atom_site_label
_atom_site_fract_x
_atom_site_fract_y
_atom_site_fract_z
Hf1 0.000 0.000 0.000
Mn1 0.000 0.177 0.500
Mn2 0.000 0.325 0.000
Mn3 0.000 0.500 0.500
```



[3]
The following is a DFT calculation (PBE-GGA) of a relaxed Mn2TcSe crystal.

Structure (CIF):
```
data_Mn2TcSe
_chemical_formula_sum 'Mn2 Tc1 Se1'
_cell_length_a 3.719
_cell_length_b 3.719
_cell_length_c 3.966
_cell_angle_alpha 90.00
_cell_angle_beta 90.00
_cell_angle_gamma 90.00
_space_group_name_H-M_alt 'P 4/m m m'
_space_group_IT_number 123
_space_group_name_Hall '-P 4 2'
loop_
_atom_site_label
_atom_site_fract_x
_atom_site_fract_y
_atom_site_fract_z
Mn1 0.000 0.500 0.000
Tc1 0.000 0.000 0.500
Se1 0.500 0.500 0.500
```



[4]
The following is a DFT calculation (PBE-GGA) of a relaxed CaTmAsO5 crystal.

Structure (CIF):
```
data_CaTmAsO5
_chemical_formula_sum 'Ca4 Tm4 As4 O20'
_cell_length_a 7.088
_cell_length_b 9.354
_cell_length_c 7.659
_cell_angle_alpha 90.00
_cell_angle_beta 112.37
_cell_angle_gamma 90.00
_space_group_name_H-M_alt 'C 1 2/c 1'
_space_group_IT_number 15
loop_
_space_group_symop_operation_xyz
'x,y,z'
'-x,-y,-z'
'-x,y,-z+1/2'
'x,-y,z+1/2'
'x+1/2,y+1/2,z'
'-x+1/2,-y+1/2,-z'
'-x+1/2,y+1/2,-z+1/2'
'x+1/2,-y+1/2,z+1/2'
loop_
_atom_site_label
_atom_site_fract_x
_atom_site_fract_y
_atom_site_fract_z
Ca1 0.000 0.175 0.250
Tm1 0.000 0.500 0.000
As1 0.000 0.173 0.750
O1 0.000 0.404 0.250
O2 0.114 0.280 0.634
O3 0.165 0.058 0.914
```



Respective M_tot values: 10.00 1.60 5.11 0.00 μB per formula unit.
Respective final energy values: -157.0 -110.3 -31.0 -224.6 eV/cell.